# Cs2Ca2InCl7

Cs2Ca2InCl7 after structural relaxation (PBE-GGA, Alexandria).

The space group is I4/mmm (No. 139) and the conventional cell measures 5.418, 5.418 and 28.054 Å, with angles of 90.00, 90.00 and 90.00 degrees. The asymmetric unit holds Cs at (0.000, 0.000, 0.183), Ca at (0.000, 0.000, 0.403), In at (0.000, 0.000, 0.000), Cl at (0.000, 0.000, 0.307), Cl at (0.000, 0.000, 0.500) and Cl at (0.000, 0.500, 0.092).

The total magnetization is 0.0 μB/f.u. The electronic total energy is -45.410 eV/f.u.